A plane-wave DFT calculation with PBE with a Hubbard U was carried out for a relaxed structure of LiScVF6.

Space-group type = P4_2nm
Raw total energy = -6.300 eV per atom

a b c (Å): 4.856 4.856 9.570
angles (deg): 90.00 90.00 90.00
Sites, in units of the cell vectors:
Li1 0.000 0.000 0.000
Li2 0.500 0.500 0.500
Sc1 0.000 0.000 0.334
Sc2 0.500 0.500 0.834
V1 0.000 0.000 0.669
V2 0.500 0.500 0.169
F1 0.193 0.193 0.172
F2 0.196 0.196 0.495
F3 0.202 0.202 0.836
F4 0.298 0.702 0.336
F5 0.304 0.696 0.995
F6 0.307 0.693 0.672
F7 0.693 0.307 0.672
F8 0.696 0.304 0.995
F9 0.702 0.298 0.336
F10 0.798 0.798 0.836
F11 0.804 0.804 0.495
F12 0.807 0.807 0.172